Record 1
Entry from Alexandria: an optimized crystal structure of Sm3SbBr3 (GGA-PBE).

Unit cell a=7.3081 b=7.3081 c=32.3241 alpha=90.00 beta=90.00 gamma=120.00
With the nearest neighbours (Å) after each atom.
Space group R-3 (No. 148, hexagonal axes)
Asymmetric unit:
Sm1 0.0000 0.3283 0.4461  2 Sb 3.01, 3 Br 3.02-3.03
Sb1 0.0000 0.0000 0.1667  6 Sm 3.01
Br1 0.0000 0.3365 0.6091  3 Sm 3.02-3.03

ΔE_f (raw) in eV per atom: -1.37
Theoretical density in g/cm³: 5.41

***

Record 2
Entry from Alexandria: an optimized crystal structure of MgNiW (GGA-PBE).

Unit cell a=2.6925 b=5.0003 c=7.0698 alpha=75.39 beta=81.79 gamma=77.04
With the nearest neighbours (Å) after each atom.
Space group P1 (No. 1)
Asymmetric unit:
Mg1 0.0000 0.0000 0.0000  2 Ni 2.52-2.60, 2 Mg 2.69, 1 W 2.79
Mg2 0.3126 0.9154 0.3891  5 Ni 2.58-2.77, 2 Mg 2.69
Ni1 0.0075 0.4163 0.5031  4 Ni 2.46-2.69, 4 W 2.65-2.68, 2 Mg 2.70-2.74
Ni2 0.6414 0.0076 0.6876  4 Ni 2.46-2.69, 4 Mg 2.52-2.64, 2 W 2.56-2.68
W1 0.3379 0.5379 0.8009  4 Ni 2.56-2.68, 3 W 2.69-2.72
W2 0.6220 0.4630 0.1671  2 Ni 2.66-2.68, 3 W 2.69-2.72, 3 Mg 2.79-2.97

ΔE to the lowest computed polymorph in meV/atom: 147
Theoretical density in g/cm³: 9.91

***

Record 3
Entry from Alexandria: an optimized crystal structure of KTcP2O (GGA-PBE).

Unit cell a=5.0235 b=5.0235 c=3.8254 alpha=90.00 beta=90.00 gamma=90.00
With the nearest neighbours (Å) after each atom.
Space group P4/mmm (No. 123)
Asymmetric unit:
K1 0.0000 0.0000 0.0000  2 O 1.91
Tc1 0.5000 0.5000 0.5000  8 P 3.16
P1 0.0000 0.5000 0.0000  2 K 2.51
O1 0.0000 0.0000 0.5000  2 K 1.91

ΔE to the lowest computed polymorph in meV/atom: 2388
ΔE_f (raw) in eV per atom: 2.18
Theoretical density in g/cm³: 3.70

***

Record 4
Entry from Alexandria: an optimized crystal structure of CsCaY3 (GGA-PBE).

Unit cell a=5.7790 b=5.7790 c=5.7790 alpha=90.00 beta=90.00 gamma=90.00
With the nearest neighbours (Å) after each atom.
Space group Pm-3m (No. 221)
Asymmetric unit:
Cs1 0.0000 0.0000 0.0000  6 Y 2.89
Ca1 0.5000 0.5000 0.5000  12 Y 4.09
Y1 0.0000 0.0000 0.5000  2 Cs 2.89

ΔE to the lowest computed polymorph in meV/atom: 28
Theoretical density in g/cm³: 3.78

***

Record 5
Entry from Alexandria: an optimized crystal structure of ZnFeCl2 (GGA-PBE).

Unit cell a=6.6828 b=6.6828 c=9.4114 alpha=90.00 beta=90.00 gamma=90.00
With the nearest neighbours (Å) after each atom.
Space group I-42d (No. 122)
Asymmetric unit:
Zn1 0.0000 0.0000 0.0000  4 Cl 3.34
Fe1 0.0000 0.0000 0.5000  4 Cl 2.16
Cl1 0.1047 0.2500 0.6250  2 Fe 2.16

ΔE to the lowest computed polymorph in meV/atom: 453
ΔE_f (raw) in eV per atom: 0.09
Theoretical density in g/cm³: 3.04

***

Record 6
Entry from Alexandria: an optimized crystal structure of KAlGe2 (GGA-PBE).

Unit cell a=4.2852 b=4.2852 c=20.1134 alpha=90.00 beta=90.00 gamma=120.00
With the nearest neighbours (Å) after each atom.
Space group R-3m (No. 166, hexagonal axes)
Asymmetric unit:
K1 0.0000 0.0000 0.0000  6 Ge 3.46
Al1 0.0000 0.0000 0.5000  6 Ge 2.64
Ge1 0.0000 0.0000 0.2129  3 Al 2.64

Theoretical density in g/cm³: 3.29
E in eV/atom: -3.4948

***

Record 7
Entry from Alexandria: an optimized crystal structure of Cs3LiCe2S6 (GGA-PBE).

Unit cell a=7.2315 b=12.5647 c=8.3150 alpha=90.00 beta=106.57 gamma=90.00
With the nearest neighbours (Å) after each atom.
Space group C2/m (No. 12)
Asymmetric unit:
Cs1 0.0000 0.0000 0.0000  6 S 3.45-3.56
Cs2 0.0000 0.3418 0.0000  6 S 3.46-3.54
Li1 0.0000 0.5000 0.5000  6 S 2.88-2.95
Ce1 0.0000 0.1673 0.5000  6 S 2.76
S1 0.2101 0.0000 0.6762  2 Ce 2.76, 1 Li 2.88
S2 0.2373 0.3230 0.6832  2 Ce 2.76, 1 Li 2.95

ΔE_f (raw) in eV per atom: -1.54
Theoretical density in g/cm³: 4.03

***

Record 8
Entry from Alexandria: an optimized crystal structure of LiPdBr2 (GGA-PBE).

Unit cell a=6.9202 b=6.9202 c=6.9202 alpha=90.00 beta=90.00 gamma=90.00
With the nearest neighbours (Å) after each atom.
Space group Fm-3m (No. 225)
Asymmetric unit:
Li1 0.0000 0.0000 0.0000  8 Br 3.00
Pd1 0.0000 0.0000 0.5000  8 Br 3.00
Br1 0.2500 0.2500 0.2500  4 Li 3.00, 4 Pd 3.00

ΔE to the lowest computed polymorph in meV/atom: 237
ΔE_f (raw) in eV per atom: -0.39
Theoretical density in g/cm³: 5.48

***

Record 9
Entry from Alexandria: an optimized crystal structure of Nb2Te4Cl10O (GGA-PBE).

Unit cell a=7.5625 b=7.7611 c=10.6286 alpha=80.45 beta=87.42 gamma=79.04
With the nearest neighbours (Å) after each atom.
Space group P-1 (No. 2)
Asymmetric unit:
Nb1 0.1255 0.0026 0.3391  1 O 1.92
Te1 0.2940 0.3986 0.9768  2 Te 2.73
Te2 0.4081 0.7054 0.8740  2 Te 2.73
Cl1 0.0590 0.6978 0.7401  1 Nb 2.51
Cl2 0.0975 0.1141 0.7522  1 Nb 2.37
Cl3 0.2856 0.0239 0.1264  1 Nb 2.51
Cl4 0.3036 0.7254 0.3991  1 Nb 2.32
Cl5 0.3291 0.1644 0.4047  1 Nb 2.36
O1 0.0000 0.0000 0.5000  2 Nb 1.92

ΔE_f (raw) in eV per atom: -1.01
Theoretical density in g/cm³: 2.93

***

Record 10
Entry from Alexandria: an optimized crystal structure of Al2InS (GGA-PBE).

Unit cell a=5.9945 b=5.9945 c=11.5214 alpha=90.00 beta=90.00 gamma=90.00
With the nearest neighbours (Å) after each atom.
Space group I-42d (No. 122)
Asymmetric unit:
Al1 0.2119 0.2500 0.1250  2 S 2.44, 2 In 2.70
In1 0.0000 0.0000 0.5000  4 Al 2.70
S1 0.0000 0.0000 0.0000  4 Al 2.44

ΔE to the lowest computed polymorph in meV/atom: 0
ΔE_f (raw) in eV per atom: -0.06
Theoretical density in g/cm³: 3.22

***

Record 11
Entry from Alexandria: an optimized crystal structure of Pm4Bi2TeSe (GGA-PBE).

Unit cell a=7.7006 b=4.4712 c=7.7476 alpha=90.00 beta=109.61 gamma=90.00
With the nearest neighbours (Å) after each atom.
Space group P2/m (No. 10)
Asymmetric unit:
Pm1 0.2366 0.0000 0.2364  2 Se 3.07, 3 Bi 3.16-3.24, 1 Te 3.16
Pm2 0.2431 0.5000 0.7568  1 Se 3.07, 3 Bi 3.16-3.24, 2 Te 3.16
Bi1 0.5000 0.0000 0.0000  6 Pm 3.16
Bi2 0.5000 0.5000 0.5000  6 Pm 3.24
Te1 0.0000 0.0000 0.5000  6 Pm 3.16
Se1 0.0000 0.5000 0.0000  6 Pm 3.07

ΔE_f (raw) in eV per atom: -1.27
Theoretical density in g/cm³: 7.96

***

Record 12
Entry from Alexandria: an optimized crystal structure of Ca2PrP (GGA-PBE).

Unit cell a=3.9757 b=3.9757 c=32.2280 alpha=90.00 beta=90.00 gamma=120.00
With the nearest neighbours (Å) after each atom.
Space group R-3m (No. 166, hexagonal axes)
Asymmetric unit:
Ca1 0.0000 0.0000 0.1191  3 P 2.76
Pr1 0.0000 0.0000 0.0000  2 Ca 3.84, 6 Pr 3.98
P1 0.0000 0.0000 0.5000  6 Ca 2.76

Theoretical density in g/cm³: 2.85
E in eV/atom: -3.9294